[1]
# MnPtCl2 (GGA-PBE, relaxed)
data_MnPtCl2
_cell_length_a 6.546
_cell_length_b 6.546
_cell_length_c 6.546
_cell_angle_alpha 90.00
_cell_angle_beta 90.00
_cell_angle_gamma 90.00
_space_group_name_H-M_alt 'F m -3 m'
_space_group_IT_number 225
_space_group_name_Hall '-F 4 2 3'
loop_
_atom_site_label
_atom_site_type_symbol
_atom_site_fract_x
_atom_site_fract_y
_atom_site_fract_z
Mn1 Mn 0.000 0.000 0.000
Pt1 Pt 0.000 0.000 0.500
Cl1 Cl 0.250 0.250 0.250
# calculated volume = 17.5 Å³ per atom
# energy above the most stable polymorph in this dataset = 2.71 eV per formula unit
# D(E_F) = 0.200 states/eV per atom
# raw formation energy = 0.27 eV per atom
# mass density = 7.60 g/cm3


[2]
# Mn2PtCl (GGA-PBE, relaxed)
data_Mn2PtCl
_cell_length_a 2.9087
_cell_length_b 2.9087
_cell_length_c 27.0072
_cell_angle_alpha 90.00
_cell_angle_beta 90.00
_cell_angle_gamma 120.00
_space_group_name_H-M_alt 'R 3 m'
_space_group_IT_number 160
_space_group_name_Hall 'R 3 -2"'
loop_
_atom_site_label
_atom_site_type_symbol
_atom_site_fract_x
_atom_site_fract_y
_atom_site_fract_z
Mn1 Mn 0.0000 0.0000 0.0000
Mn2 Mn 0.0000 0.0000 0.2601
Pt1 Pt 0.0000 0.0000 0.7415
Cl1 Cl 0.0000 0.0000 0.5334
# calculated volume = 16.5 Å³ per atom
# energy above the most stable polymorph in this dataset = 0.70 eV per formula unit
# D(E_F) = 0.535 states/eV per atom
# raw formation energy = 0.01 eV per atom
# mass density = 8.57 g/cm3


[3]
# MnPtCl2 (GGA-PBE, relaxed)
data_MnPtCl2
_cell_length_a 6.581
_cell_length_b 6.581
_cell_length_c 6.581
_cell_angle_alpha 90.00
_cell_angle_beta 90.00
_cell_angle_gamma 90.00
_space_group_name_H-M_alt 'F -4 3 m'
_space_group_IT_number 216
_space_group_name_Hall 'F -4 2 3'
loop_
_atom_site_label
_atom_site_type_symbol
_atom_site_fract_x
_atom_site_fract_y
_atom_site_fract_z
Mn1 Mn 0.000 0.000 0.000
Pt1 Pt 0.250 0.250 0.250
Cl1 Cl 0.000 0.000 0.500
Cl2 Cl 0.250 0.250 0.750
# calculated volume = 17.8 Å³ per atom
# energy above the most stable polymorph in this dataset = 2.98 eV per formula unit
# D(E_F) = 0.370 states/eV per atom
# raw formation energy = 0.34 eV per atom
# mass density = 7.48 g/cm3


[4]
# Mn3PtCl (GGA-PBE, relaxed)
data_Mn3PtCl
_cell_length_a 4.057
_cell_length_b 4.057
_cell_length_c 4.057
_cell_angle_alpha 90.00
_cell_angle_beta 90.00
_cell_angle_gamma 90.00
_space_group_name_H-M_alt 'P m -3 m'
_space_group_IT_number 221
_space_group_name_Hall '-P 4 2 3'
loop_
_atom_site_label
_atom_site_type_symbol
_atom_site_fract_x
_atom_site_fract_y
_atom_site_fract_z
Mn1 Mn 0.000 0.000 0.500
Pt1 Pt 0.500 0.500 0.500
Cl1 Cl 0.000 0.000 0.000
# calculated volume = 13.4 Å³ per atom
# energy above the most stable polymorph in this dataset = 1.45 eV per formula unit
# D(E_F) = 0.917 states/eV per atom
# raw formation energy = 0.80 eV per atom
# mass density = 9.83 g/cm3


[5]
# MnPtCl2 (GGA-PBE, relaxed)
data_MnPtCl2
_cell_length_a 3.115
_cell_length_b 4.075
_cell_length_c 5.755
_cell_angle_alpha 90.00
_cell_angle_beta 90.00
_cell_angle_gamma 90.00
_space_group_name_H-M_alt 'P m m m'
_space_group_IT_number 47
loop_
_space_group_symop_operation_xyz
'x,y,z'
'-x,-y,-z'
'-x,-y,z'
'x,y,-z'
'x,-y,-z'
'-x,y,z'
'-x,y,-z'
'x,-y,z'
loop_
_atom_site_label
_atom_site_type_symbol
_atom_site_fract_x
_atom_site_fract_y
_atom_site_fract_z
Mn1 Mn 0.000 0.000 0.000
Pt1 Pt 0.500 0.000 0.500
Cl1 Cl 0.000 0.500 0.500
Cl2 Cl 0.500 0.500 0.000
# calculated volume = 18.3 Å³ per atom
# energy above the most stable polymorph in this dataset = 1.85 eV per formula unit
# D(E_F) = 0.273 states/eV per atom
# raw formation energy = 0.05 eV per atom
# mass density = 7.30 g/cm3


[6]
# MnPtCl4 (GGA-PBE, relaxed)
data_MnPtCl4
_cell_length_a 7.997
_cell_length_b 7.997
_cell_length_c 7.997
_cell_angle_alpha 90.00
_cell_angle_beta 90.00
_cell_angle_gamma 90.00
_space_group_name_H-M_alt 'F -4 3 m'
_space_group_IT_number 216
_space_group_name_Hall 'F -4 2 3'
loop_
_atom_site_label
_atom_site_type_symbol
_atom_site_fract_x
_atom_site_fract_y
_atom_site_fract_z
Mn1 Mn 0.000 0.000 0.000
Pt1 Pt 0.250 0.250 0.750
Cl1 Cl 0.125 0.125 0.375
# calculated volume = 21.3 Å³ per atom
# D(E_F) = 1.296 states/eV per atom
# raw formation energy = 1.01 eV per atom
# mass density = 5.09 g/cm3


[7]
# Mn2PtCl (GGA-PBE, relaxed)
data_Mn2PtCl
_cell_length_a 3.655
_cell_length_b 3.655
_cell_length_c 10.590
_cell_angle_alpha 90.00
_cell_angle_beta 90.00
_cell_angle_gamma 90.00
_space_group_name_H-M_alt 'I -4 m 2'
_space_group_IT_number 119
_space_group_name_Hall 'I -4 -2'
loop_
_atom_site_label
_atom_site_type_symbol
_atom_site_fract_x
_atom_site_fract_y
_atom_site_fract_z
Mn1 Mn 0.000 0.000 0.000
Mn2 Mn 0.000 0.500 0.250
Pt1 Pt 0.000 0.500 0.750
Cl1 Cl 0.000 0.000 0.500
# calculated volume = 17.7 Å³ per atom
# energy above the most stable polymorph in this dataset = 1.49 eV per formula unit
# D(E_F) = 0.641 states/eV per atom
# raw formation energy = 0.21 eV per atom
# mass density = 7.99 g/cm3


[8]
# MnPtCl (GGA-PBE, relaxed)
data_MnPtCl
_cell_length_a 6.137
_cell_length_b 6.137
_cell_length_c 6.137
_cell_angle_alpha 90.00
_cell_angle_beta 90.00
_cell_angle_gamma 90.00
_space_group_name_H-M_alt 'F -4 3 m'
_space_group_IT_number 216
_space_group_name_Hall 'F -4 2 3'
loop_
_atom_site_label
_atom_site_type_symbol
_atom_site_fract_x
_atom_site_fract_y
_atom_site_fract_z
Mn1 Mn 0.000 0.000 0.000
Pt1 Pt 0.250 0.250 0.250
Cl1 Cl 0.250 0.250 0.750
# calculated volume = 19.3 Å³ per atom
# energy above the most stable polymorph in this dataset = 1.42 eV per formula unit
# D(E_F) = 0.764 states/eV per atom
# raw formation energy = 0.25 eV per atom
# mass density = 8.20 g/cm3